## CrFe3F (PBE with a Hubbard U)

Data for an optimized crystal structure of CrFe3F.

It has space group Pm-3m (No. 221), with a = 4.4170 Å, b = 4.4170 Å, c = 4.4170 Å, α = 90.00°, β = 90.00° and γ = 90.00°. The distinct sites, in fractional coordinates, are Cr at (0.0000, 0.0000, 0.0000), Fe at (0.0000, 0.5000, 0.5000) and F at (0.5000, 0.5000, 0.5000).

The energy above the lowest structure with this stoichiometry comes out at 0 meV/atom. The final energy comes out at -0.1755 Ha/atom.